Record 1
This record from Alexandria via LeMat-Bulk describes an optimized crystal structure of Ba4Mg3Hg2. The functional is PBE.

a = 18.5371 Å, b = 4.6540 Å, c = 8.4081 Å
α = 90.00°, β = 106.70°, γ = 90.00°
Space group C2/m (No. 12)
Inequivalent atoms, fractional coordinates:
Ba1 0.0775 0.0000 0.3673 x4
Ba2 0.2376 0.5000 0.2044 x4
Mg1 0.0000 0.5000 0.0000 x2
Mg2 0.0892 0.5000 0.7259 x4
Hg1 0.1016 0.0000 0.9595 x4

Values from the calculation:
Energy relative to the elements, eV per formula unit: -2.0


Record 2
This record from Alexandria via LeMat-Bulk describes an optimized crystal structure of Ba2MgHgN. The functional is PBE.

a = 5.8992 Å, b = 5.8992 Å, c = 4.1664 Å
α = 90.00°, β = 90.00°, γ = 90.00°
Space group P4/mmm (No. 123)
Inequivalent atoms, fractional coordinates:
Ba1 0.0000 0.5000 0.0000 x2
Mg1 0.0000 0.0000 0.5000 x1
Hg1 0.5000 0.5000 0.5000 x1
N1 0.0000 0.0000 0.0000 x1

Values from the calculation:
Formation energy (no corrections), eV/atom: -0.39


Record 3
This record from Alexandria via LeMat-Bulk describes an optimized crystal structure of Ba2NaMgHg. The functional is PBE.

a = 6.6250 Å, b = 6.6250 Å, c = 5.3745 Å
α = 90.00°, β = 90.00°, γ = 90.00°
Space group P4/mmm (No. 123)
Inequivalent atoms, fractional coordinates:
Ba1 0.0000 0.5000 0.0000 x2
Na1 0.0000 0.0000 0.0000 x1
Mg1 0.0000 0.0000 0.5000 x1
Hg1 0.5000 0.5000 0.5000 x1

Values from the calculation:
Energy relative to the elements, eV per formula unit: 1.3
Distance to the lowest polymorph of the same formula, eV per atom: 0.343


Record 4
This record from Alexandria via LeMat-Bulk describes an optimized crystal structure of Ba2NaMgHg. The functional is PBE.

a = 6.5946 Å, b = 6.5946 Å, c = 5.6233 Å
α = 90.00°, β = 90.00°, γ = 90.00°
Space group P4/mmm (No. 123)
Inequivalent atoms, fractional coordinates:
Ba1 0.0000 0.5000 0.0000 x2
Na1 0.0000 0.0000 0.5000 x1
Mg1 0.5000 0.5000 0.5000 x1
Hg1 0.0000 0.0000 0.0000 x1

Values from the calculation:
Energy relative to the elements, eV per formula unit: 0.0
Distance to the lowest polymorph of the same formula, eV per atom: 0.085


Record 5
This record from Alexandria via LeMat-Bulk describes an optimized crystal structure of Ba2NaMgHg. The functional is PBE.

a = 6.6612 Å, b = 6.6612 Å, c = 5.3862 Å
α = 90.00°, β = 90.00°, γ = 90.00°
Space group P4/mmm (No. 123)
Inequivalent atoms, fractional coordinates:
Ba1 0.0000 0.5000 0.0000 x2
Na1 0.0000 0.0000 0.5000 x1
Mg1 0.5000 0.5000 0.5000 x1
Hg1 0.5000 0.5000 0.0000 x1

Values from the calculation:
Energy relative to the elements, eV per formula unit: -0.5
Distance to the lowest polymorph of the same formula, eV per atom: 0.000


Record 6
This record from Alexandria via LeMat-Bulk describes an optimized crystal structure of Ba3Na2Mg2Hg4. The functional is PBE.

a = 5.1710 Å, b = 5.1710 Å, c = 16.8611 Å
α = 90.00°, β = 90.00°, γ = 120.00°
Space group P-3m1 (No. 164)
Inequivalent atoms, fractional coordinates:
Ba1 0.0000 0.0000 0.0000 x1
Ba2 0.0000 0.0000 0.2638 x2
Na1 0.3333 0.6667 0.5598 x2
Mg1 0.3333 0.6667 0.1349 x2
Hg1 0.3333 0.6667 0.3699 x2
Hg2 0.3333 0.6667 0.8678 x2

Values from the calculation:
Energy relative to the elements, eV per formula unit: -3.2


Record 7
This record from Alexandria via LeMat-Bulk describes an optimized crystal structure of Ba2MgNbHg. The functional is PBE.

a = 6.0583 Å, b = 6.0583 Å, c = 5.4226 Å
α = 90.00°, β = 90.00°, γ = 90.00°
Space group P4/mmm (No. 123)
Inequivalent atoms, fractional coordinates:
Ba1 0.0000 0.5000 0.0000 x2
Mg1 0.0000 0.0000 0.5000 x1
Nb1 0.5000 0.5000 0.0000 x1
Hg1 0.5000 0.5000 0.5000 x1

Values from the calculation:
Energy relative to the elements, eV per formula unit: 3.2


Record 8
This record from Alexandria via LeMat-Bulk describes an optimized crystal structure of BaNdMgHg. The functional is PBE.

a = 8.1006 Å, b = 8.1006 Å, c = 8.1006 Å
α = 90.00°, β = 90.00°, γ = 90.00°
Space group F-43m (No. 216)
Inequivalent atoms, fractional coordinates:
Ba1 0.0000 0.0000 0.0000 x4
Nd1 0.0000 0.0000 0.5000 x4
Mg1 0.2500 0.2500 0.2500 x4
Hg1 0.2500 0.2500 0.7500 x4

Values from the calculation:
Energy relative to the elements, eV per formula unit: -0.7


Record 9
This record from Alexandria via LeMat-Bulk describes an optimized crystal structure of Ba2MgNiHg. The functional is PBE.

a = 5.9721 Å, b = 5.9721 Å, c = 5.0054 Å
α = 90.00°, β = 90.00°, γ = 90.00°
Space group P4/mmm (No. 123)
Inequivalent atoms, fractional coordinates:
Ba1 0.0000 0.5000 0.0000 x2
Mg1 0.0000 0.0000 0.5000 x1
Ni1 0.0000 0.0000 0.0000 x1
Hg1 0.5000 0.5000 0.5000 x1

Values from the calculation:
Energy relative to the elements, eV per formula unit: -0.7


Record 10
This record from Alexandria via LeMat-Bulk describes an optimized crystal structure of BaMg2NiHg. The functional is PBE.

a = 4.9567 Å, b = 4.9567 Å, c = 5.1762 Å
α = 90.00°, β = 90.00°, γ = 90.00°
Space group P4/mmm (No. 123)
Inequivalent atoms, fractional coordinates:
Ba1 0.0000 0.0000 0.0000 x1
Mg1 0.0000 0.5000 0.5000 x2
Ni1 0.5000 0.5000 0.5000 x1
Hg1 0.5000 0.5000 0.0000 x1

Values from the calculation:
Energy relative to the elements, eV per formula unit: -0.7


Record 11
This record from Alexandria via LeMat-Bulk describes an optimized crystal structure of Ba3MgHg2O6. The functional is PBE.

a = 6.2047 Å, b = 6.2047 Å, c = 6.7940 Å
α = 90.00°, β = 90.00°, γ = 120.00°
Space group P-3m1 (No. 164)
Inequivalent atoms, fractional coordinates:
Ba1 0.0000 0.0000 0.0000 x1
Ba2 0.3333 0.6667 0.6220 x2
Mg1 0.0000 0.0000 0.5000 x1
Hg1 0.3333 0.6667 0.1426 x2
O1 0.1599 0.3198 0.3162 x6

Values from the calculation:
Formation energy (no corrections), eV/atom: -1.58


Record 12
This record from Alexandria via LeMat-Bulk describes an optimized crystal structure of Ba2Mg4Hg3Pb. The functional is PBE.

a = 5.2258 Å, b = 5.2258 Å, c = 10.8864 Å
α = 90.00°, β = 90.00°, γ = 90.00°
Space group P-4m2 (No. 115)
Inequivalent atoms, fractional coordinates:
Ba1 0.0000 0.5000 0.2422 x2
Mg1 0.0000 0.0000 0.5000 x1
Mg2 0.0000 0.5000 0.8684 x2
Mg3 0.5000 0.5000 0.5000 x1
Hg1 0.0000 0.0000 0.0000 x1
Hg2 0.0000 0.5000 0.6118 x2
Pb1 0.5000 0.5000 0.0000 x1

Values from the calculation:
Energy relative to the elements, eV per formula unit: -3.4


no.,calculated total energy (eV per atom)
1,-1.678
2,-3.204
3,-1.159
4,-1.418
5,-1.503
6,-1.458
7,-2.519
8,-2.325
9,-2.441
10,-2.387
11,-4.724
12,-1.819